Record 1
# Pa3Zn (GGA-PBE, relaxed)
data_Pa3Zn
_symmetry_space_group_name_H-M 'P 1'
_symmetry_Int_Tables_number 1
_symmetry_space_group_name_Hall 'P 1'
_cell_length_a 7.125
_cell_length_b 7.125
_cell_length_c 7.125
_cell_angle_alpha 90.00
_cell_angle_beta 90.00
_cell_angle_gamma 90.00
loop_
_atom_site_label
_atom_site_type_symbol
_atom_site_fract_x
_atom_site_fract_y
_atom_site_fract_z
Pa1 Pa 0.000 0.000 0.000
Pa2 Pa 0.000 0.500 0.500
Pa3 Pa 0.250 0.250 0.250
Pa4 Pa 0.250 0.250 0.750
Pa5 Pa 0.250 0.750 0.250
Pa6 Pa 0.250 0.750 0.750
Pa7 Pa 0.500 0.000 0.500
Pa8 Pa 0.500 0.500 0.000
Pa9 Pa 0.750 0.250 0.250
Pa10 Pa 0.750 0.250 0.750
Pa11 Pa 0.750 0.750 0.250
Pa12 Pa 0.750 0.750 0.750
Zn1 Zn 0.000 0.000 0.500
Zn2 Zn 0.000 0.500 0.000
Zn3 Zn 0.500 0.000 0.000
Zn4 Zn 0.500 0.500 0.500
# ΔE to the lowest computed polymorph: 0.835 eV per formula unit
# Formation energy: 179 meV per atom
# Fermi-level density of states: 2.68 states/eV per atom


Record 2
# Pa3Zn (GGA-PBE, relaxed)
data_Pa3Zn
_symmetry_space_group_name_H-M 'P 1'
_symmetry_Int_Tables_number 1
_symmetry_space_group_name_Hall 'P 1'
_cell_length_a 4.489
_cell_length_b 4.489
_cell_length_c 8.972
_cell_angle_alpha 90.00
_cell_angle_beta 90.00
_cell_angle_gamma 90.00
loop_
_atom_site_label
_atom_site_type_symbol
_atom_site_fract_x
_atom_site_fract_y
_atom_site_fract_z
Pa1 Pa 0.000 0.000 0.000
Pa2 Pa 0.000 0.500 0.250
Pa3 Pa 0.000 0.500 0.750
Pa4 Pa 0.500 0.000 0.250
Pa5 Pa 0.500 0.000 0.750
Pa6 Pa 0.500 0.500 0.500
Zn1 Zn 0.000 0.000 0.500
Zn2 Zn 0.500 0.500 0.000
# ΔE to the lowest computed polymorph: 0.270 eV per formula unit
# Formation energy: 38 meV per atom
# Fermi-level density of states: 1.98 states/eV per atom


Record 3
# PaZn3 (GGA-PBE, relaxed)
data_PaZn3
_symmetry_space_group_name_H-M 'P 1'
_symmetry_Int_Tables_number 1
_symmetry_space_group_name_Hall 'P 1'
_cell_length_a 3.942
_cell_length_b 3.942
_cell_length_c 11.054
_cell_angle_alpha 90.00
_cell_angle_beta 90.00
_cell_angle_gamma 90.00
loop_
_atom_site_label
_atom_site_type_symbol
_atom_site_fract_x
_atom_site_fract_y
_atom_site_fract_z
Pa1 Pa 0.000 0.000 0.000
Pa2 Pa 0.500 0.500 0.500
Zn1 Zn 0.000 0.000 0.279
Zn2 Zn 0.000 0.000 0.500
Zn3 Zn 0.000 0.000 0.721
Zn4 Zn 0.500 0.500 0.000
Zn5 Zn 0.500 0.500 0.221
Zn6 Zn 0.500 0.500 0.779
# Formation energy: 490 meV per atom
# Fermi-level density of states: 1.52 states/eV per atom


Record 4
# PaZn13 (GGA-PBE, relaxed)
data_PaZn13
_symmetry_space_group_name_H-M 'P 1'
_symmetry_Int_Tables_number 1
_symmetry_space_group_name_Hall 'P 1'
_cell_length_a 8.568
_cell_length_b 8.568
_cell_length_c 8.568
_cell_angle_alpha 60.00
_cell_angle_beta 60.00
_cell_angle_gamma 60.00
loop_
_atom_site_label
_atom_site_type_symbol
_atom_site_fract_x
_atom_site_fract_y
_atom_site_fract_z
Pa1 Pa 0.250 0.250 0.250
Pa2 Pa 0.750 0.750 0.750
Zn1 Zn 0.000 0.000 0.000
Zn2 Zn 0.057 0.301 0.699
Zn3 Zn 0.057 0.699 0.943
Zn4 Zn 0.057 0.943 0.301
Zn5 Zn 0.199 0.443 0.801
Zn6 Zn 0.199 0.557 0.443
Zn7 Zn 0.199 0.801 0.557
Zn8 Zn 0.301 0.057 0.943
Zn9 Zn 0.301 0.699 0.057
Zn10 Zn 0.301 0.943 0.699
Zn11 Zn 0.443 0.199 0.557
Zn12 Zn 0.443 0.557 0.801
Zn13 Zn 0.443 0.801 0.199
Zn14 Zn 0.500 0.500 0.500
Zn15 Zn 0.557 0.199 0.801
Zn16 Zn 0.557 0.443 0.199
Zn17 Zn 0.557 0.801 0.443
Zn18 Zn 0.699 0.057 0.301
Zn19 Zn 0.699 0.301 0.943
Zn20 Zn 0.699 0.943 0.057
Zn21 Zn 0.801 0.199 0.443
Zn22 Zn 0.801 0.443 0.557
Zn23 Zn 0.801 0.557 0.199
Zn24 Zn 0.943 0.057 0.699
Zn25 Zn 0.943 0.301 0.057
Zn26 Zn 0.943 0.699 0.301
# Formation energy: -34 meV per atom
# Fermi-level density of states: 0.71 states/eV per atom


Record 5
# Pa3Zn (GGA-PBE, relaxed)
data_Pa3Zn
_symmetry_space_group_name_H-M 'P 1'
_symmetry_Int_Tables_number 1
_symmetry_space_group_name_Hall 'P 1'
_cell_length_a 3.140
_cell_length_b 10.600
_cell_length_c 5.505
_cell_angle_alpha 90.00
_cell_angle_beta 90.00
_cell_angle_gamma 90.00
loop_
_atom_site_label
_atom_site_type_symbol
_atom_site_fract_x
_atom_site_fract_y
_atom_site_fract_z
Pa1 Pa 0.000 0.000 0.000
Pa2 Pa 0.000 0.232 0.684
Pa3 Pa 0.000 0.768 0.684
Pa4 Pa 0.500 0.268 0.184
Pa5 Pa 0.500 0.500 0.500
Pa6 Pa 0.500 0.732 0.184
Zn1 Zn 0.000 0.500 0.981
Zn2 Zn 0.500 0.000 0.481
# ΔE to the lowest computed polymorph: 0.241 eV per formula unit
# Formation energy: 31 meV per atom
# Fermi-level density of states: 2.12 states/eV per atom


Record 6
# PaZn4 (GGA-PBE, relaxed)
data_PaZn4
_symmetry_space_group_name_H-M 'P 1'
_symmetry_Int_Tables_number 1
_symmetry_space_group_name_Hall 'P 1'
_cell_length_a 7.811
_cell_length_b 7.811
_cell_length_c 7.811
_cell_angle_alpha 109.47
_cell_angle_beta 109.47
_cell_angle_gamma 109.47
loop_
_atom_site_label
_atom_site_type_symbol
_atom_site_fract_x
_atom_site_fract_y
_atom_site_fract_z
Pa1 Pa 0.000 0.000 0.558
Pa2 Pa 0.000 0.558 0.000
Pa3 Pa 0.442 0.442 0.442
Pa4 Pa 0.558 0.000 0.000
Zn1 Zn 0.000 0.000 0.201
Zn2 Zn 0.000 0.201 0.000
Zn3 Zn 0.000 0.349 0.349
Zn4 Zn 0.000 0.651 0.651
Zn5 Zn 0.201 0.000 0.000
Zn6 Zn 0.250 0.500 0.750
Zn7 Zn 0.250 0.750 0.500
Zn8 Zn 0.349 0.000 0.349
Zn9 Zn 0.349 0.349 0.000
Zn10 Zn 0.500 0.250 0.750
Zn11 Zn 0.500 0.750 0.250
Zn12 Zn 0.651 0.000 0.651
Zn13 Zn 0.651 0.651 0.000
Zn14 Zn 0.750 0.250 0.500
Zn15 Zn 0.750 0.500 0.250
Zn16 Zn 0.799 0.799 0.799
# ΔE to the lowest computed polymorph: 0.322 eV per formula unit
# Formation energy: 72 meV per atom
# Fermi-level density of states: 1.38 states/eV per atom


Record 7
# Pa3Zn (GGA-PBE, relaxed)
data_Pa3Zn
_symmetry_space_group_name_H-M 'P 1'
_symmetry_Int_Tables_number 1
_symmetry_space_group_name_Hall 'P 1'
_cell_length_a 3.175
_cell_length_b 5.366
_cell_length_c 5.367
_cell_angle_alpha 90.00
_cell_angle_beta 90.00
_cell_angle_gamma 90.00
loop_
_atom_site_label
_atom_site_type_symbol
_atom_site_fract_x
_atom_site_fract_y
_atom_site_fract_z
Pa1 Pa 0.000 0.000 0.000
Pa2 Pa 0.000 0.500 0.499
Pa3 Pa 0.500 0.500 0.999
Zn1 Zn 0.500 0.000 0.500
# ΔE to the lowest computed polymorph: 0.000 eV per formula unit
# Formation energy: -29 meV per atom
# Fermi-level density of states: 1.80 states/eV per atom


Record 8
# PaZn3 (GGA-PBE, relaxed)
data_PaZn3
_symmetry_space_group_name_H-M 'P 1'
_symmetry_Int_Tables_number 1
_symmetry_space_group_name_Hall 'P 1'
_cell_length_a 4.289
_cell_length_b 4.289
_cell_length_c 4.289
_cell_angle_alpha 90.00
_cell_angle_beta 90.00
_cell_angle_gamma 90.00
loop_
_atom_site_label
_atom_site_type_symbol
_atom_site_fract_x
_atom_site_fract_y
_atom_site_fract_z
Pa1 Pa 0.000 0.000 0.000
Zn1 Zn 0.000 0.500 0.500
Zn2 Zn 0.500 0.000 0.500
Zn3 Zn 0.500 0.500 0.000
# Formation energy: 134 meV per atom
# Fermi-level density of states: 1.79 states/eV per atom


Record 9
# Pa3Zn (GGA-PBE, relaxed)
data_Pa3Zn
_symmetry_space_group_name_H-M 'P 1'
_symmetry_Int_Tables_number 1
_symmetry_space_group_name_Hall 'P 1'
_cell_length_a 4.507
_cell_length_b 4.507
_cell_length_c 4.507
_cell_angle_alpha 90.00
_cell_angle_beta 90.00
_cell_angle_gamma 90.00
loop_
_atom_site_label
_atom_site_type_symbol
_atom_site_fract_x
_atom_site_fract_y
_atom_site_fract_z
Pa1 Pa 0.000 0.000 0.500
Pa2 Pa 0.000 0.500 0.000
Pa3 Pa 0.500 0.000 0.000
Zn1 Zn 0.500 0.500 0.500
# ΔE to the lowest computed polymorph: 0.359 eV per formula unit
# Formation energy: 60 meV per atom
# Fermi-level density of states: 2.19 states/eV per atom


Record 10
# Pa5Zn (GGA-PBE, relaxed)
data_Pa5Zn
_symmetry_space_group_name_H-M 'P 1'
_symmetry_Int_Tables_number 1
_symmetry_space_group_name_Hall 'P 1'
_cell_length_a 10.067
_cell_length_b 4.541
_cell_length_c 6.429
_cell_angle_alpha 90.00
_cell_angle_beta 108.11
_cell_angle_gamma 90.00
loop_
_atom_site_label
_atom_site_type_symbol
_atom_site_fract_x
_atom_site_fract_y
_atom_site_fract_z
Pa1 Pa 0.000 0.000 0.000
Pa2 Pa 0.163 0.500 0.821
Pa3 Pa 0.164 0.500 0.349
Pa4 Pa 0.336 0.000 0.651
Pa5 Pa 0.337 0.000 0.179
Pa6 Pa 0.500 0.500 0.000
Pa7 Pa 0.663 0.000 0.821
Pa8 Pa 0.664 0.000 0.349
Pa9 Pa 0.836 0.500 0.651
Pa10 Pa 0.837 0.500 0.179
Zn1 Zn 0.000 0.000 0.500
Zn2 Zn 0.500 0.500 0.500
# ΔE to the lowest computed polymorph: 0.000 eV per formula unit
# Formation energy: 1 meV per atom
# Fermi-level density of states: 1.85 states/eV per atom


Record 11
# Pa5Zn (GGA-PBE, relaxed)
data_Pa5Zn
_symmetry_space_group_name_H-M 'P 1'
_symmetry_Int_Tables_number 1
_symmetry_space_group_name_Hall 'P 1'
_cell_length_a 5.445
_cell_length_b 16.240
_cell_length_c 3.199
_cell_angle_alpha 90.00
_cell_angle_beta 90.00
_cell_angle_gamma 90.00
loop_
_atom_site_label
_atom_site_type_symbol
_atom_site_fract_x
_atom_site_fract_y
_atom_site_fract_z
Pa1 Pa 0.000 0.000 0.000
Pa2 Pa 0.000 0.164 0.500
Pa3 Pa 0.000 0.336 0.000
Pa4 Pa 0.000 0.664 0.000
Pa5 Pa 0.000 0.836 0.500
Pa6 Pa 0.500 0.164 0.000
Pa7 Pa 0.500 0.336 0.500
Pa8 Pa 0.500 0.500 0.000
Pa9 Pa 0.500 0.664 0.500
Pa10 Pa 0.500 0.836 0.000
Zn1 Zn 0.000 0.500 0.500
Zn2 Zn 0.500 0.000 0.500
# ΔE to the lowest computed polymorph: 0.094 eV per formula unit
# Formation energy: 17 meV per atom
# Fermi-level density of states: 2.01 states/eV per atom


Record 12
# PaZn3 (GGA-PBE, relaxed)
data_PaZn3
_symmetry_space_group_name_H-M 'P 1'
_symmetry_Int_Tables_number 1
_symmetry_space_group_name_Hall 'P 1'
_cell_length_a 6.325
_cell_length_b 6.325
_cell_length_c 4.356
_cell_angle_alpha 90.00
_cell_angle_beta 90.00
_cell_angle_gamma 120.00
loop_
_atom_site_label
_atom_site_type_symbol
_atom_site_fract_x
_atom_site_fract_y
_atom_site_fract_z
Pa1 Pa 0.333 0.667 0.250
Pa2 Pa 0.667 0.333 0.750
Zn1 Zn 0.148 0.296 0.750
Zn2 Zn 0.148 0.852 0.750
Zn3 Zn 0.296 0.148 0.250
Zn4 Zn 0.704 0.852 0.750
Zn5 Zn 0.852 0.148 0.250
Zn6 Zn 0.852 0.704 0.250
# Formation energy: -36 meV per atom
# Fermi-level density of states: 1.17 states/eV per atom


Record 13
# PaZn4 (GGA-PBE, relaxed)
data_PaZn4
_symmetry_space_group_name_H-M 'P 1'
_symmetry_Int_Tables_number 1
_symmetry_space_group_name_Hall 'P 1'
_cell_length_a 7.715
_cell_length_b 7.715
_cell_length_c 7.715
_cell_angle_alpha 148.92
_cell_angle_beta 128.74
_cell_angle_gamma 61.17
loop_
_atom_site_label
_atom_site_type_symbol
_atom_site_fract_x
_atom_site_fract_y
_atom_site_fract_z
Pa1 Pa 0.381 0.131 0.250
Pa2 Pa 0.619 0.869 0.750
Zn1 Zn 0.000 0.500 0.500
Zn2 Zn 0.144 0.693 0.451
Zn3 Zn 0.148 0.898 0.250
Zn4 Zn 0.257 0.307 0.951
Zn5 Zn 0.500 0.500 0.000
Zn6 Zn 0.743 0.693 0.049
Zn7 Zn 0.852 0.102 0.750
Zn8 Zn 0.856 0.307 0.549
# ΔE to the lowest computed polymorph: 0.000 eV per formula unit
# Formation energy: 7 meV per atom
# Fermi-level density of states: 0.91 states/eV per atom